Entry 1:
A geometry-optimized FeGeMo3 structure. Source: Alexandria via LeMat-Bulk, functional PBE.

Lattice parameters (Å, degrees): 4.5030 4.5030 4.5030 90.00 90.00 90.00
Fractional positions:
Mo (0.0000, 0.5000, 0.0000)
Mo (0.5000, 0.0000, 0.0000)
Mo (0.0000, 0.0000, 0.5000)
Fe (0.0000, 0.0000, 0.0000)
Ge (0.5000, 0.5000, 0.5000)

Output
- electronic total energy (eV/atom) = -7.996
- formation energy (eV per atom) = 1.119
- density of states at the Fermi level (states/eV/atom) = 1.490

---

Entry 2:
A geometry-optimized Tm2PaNbN4 structure. Source: Alexandria via LeMat-Bulk, functional PBE.

Lattice parameters (Å, degrees): 3.3521 5.7542 5.8726 109.05 90.00 90.00
Fractional positions:
N (0.5000, 0.7551, 0.7584)
N (0.0000, 0.7522, 0.2492)
N (0.5000, 0.2449, 0.2416)
N (0.0000, 0.2478, 0.7508)
Tm (0.5000, 0.0000, 0.5000)
Tm (0.0000, 0.5000, 0.5000)
Pa (0.5000, 0.5000, 0.0000)
Nb (0.0000, 0.0000, 0.0000)

Output
- electronic total energy (eV/atom) = -9.280
- E_form (uncorrected) (meV per atom) = -1553.8
- density of states at the Fermi level (states/eV/atom) = 0.453

---

Entry 3:
A geometry-optimized Li2CaInCu structure. Source: Alexandria via LeMat-Bulk, functional PBE.

Lattice parameters (Å, degrees): 4.8571 4.8571 4.9310 90.00 90.00 90.00
Fractional positions:
Li (0.5000, 0.0000, 0.0000)
Li (0.0000, 0.5000, 0.0000)
In (0.0000, 0.0000, 0.5000)
Ca (0.5000, 0.5000, 0.5000)
Cu (0.0000, 0.0000, 0.0000)

Output
- electronic total energy (eV/atom) = -2.602
- formation energy (eV per atom) = -0.070
- density of states at the Fermi level (states/eV/atom) = 0.552

---

Entry 4:
A geometry-optimized EuY2Th structure. Source: Alexandria via LeMat-Bulk, functional PBE.

Lattice parameters (Å, degrees): 3.4876 3.4876 12.9987 82.29 82.29 60.00
Last column: magnetic moment on the atom in μB.
Fractional positions:
Y (0.0872, 0.0872, 0.7383)  -0.04
Y (0.9128, 0.9128, 0.2617)  -0.04
Eu (0.5000, 0.5000, 0.5000)  -6.99
Th (0.0000, 0.0000, 0.0000)  0.01

Output
- electronic total energy (eV/atom) = -7.388
- formation energy (eV per atom) = 0.268
- density of states at the Fermi level (states/eV/atom) = 1.494

---

Entry 5:
A geometry-optimized Tb5PrSmHo2 structure. Source: Alexandria via LeMat-Bulk, functional PBE.

Lattice parameters (Å, degrees): 5.6376 10.3685 10.6034 90.00 90.00 105.78
Fractional positions:
Tb (0.7189, 0.4378, 0.8113)
Tb (0.7018, 0.4035, 0.2087)
Tb (0.2811, 0.5622, 0.3113)
Tb (0.9828, 0.9657, 0.5257)
Tb (0.3897, 0.7794, 0.0240)
Tb (0.4779, 0.9558, 0.7369)
Tb (0.6103, 0.2206, 0.5240)
Tb (0.2982, 0.5965, 0.7087)
Tb (0.5221, 0.0442, 0.2369)
Tb (0.0172, 0.0343, 0.0257)
Ho (0.8889, 0.7777, 0.2342)
Ho (0.1143, 0.2286, 0.3209)
Ho (0.8857, 0.7714, 0.8209)
Ho (0.1111, 0.2223, 0.7342)
Sm (0.2008, 0.4015, 0.0122)
Sm (0.7992, 0.5985, 0.5122)
Pr (0.5835, 0.1670, 0.9499)
Pr (0.4165, 0.8330, 0.4499)

Output
- electronic total energy (eV/atom) = -4.487
- formation energy (eV per atom) = 0.158
- density of states at the Fermi level (states/eV/atom) = 1.577

---

Entry 6:
A geometry-optimized YNi3Ag structure. Source: Alexandria via LeMat-Bulk, functional PBE.

Lattice parameters (Å, degrees): 4.6813 4.6813 4.6813 90.00 90.00 90.00
Fractional positions:
Ni (0.5000, 0.0000, 0.0000)
Ni (0.0000, 0.5000, 0.0000)
Ni (0.0000, 0.0000, 0.5000)
Y (0.0000, 0.0000, 0.0000)
Ag (0.5000, 0.5000, 0.5000)

Output
- electronic total energy (eV/atom) = -4.074
- formation energy (eV per atom) = 1.258
- density of states at the Fermi level (states/eV/atom) = 0.492